This record from Alexandria via LeMat-Bulk describes Cr2PtO after structural relaxation. The functional is GGA+U.

total magnetization	7.921	μB/f.u.
DOS at the Fermi energy	5.04	states/eV per cell
E	-6.814	eV/atom

Unit cell a=5.202 b=5.202 c=10.637 alpha=90.00 beta=90.00 gamma=90.00
Positions (direct):
1 Cr 0.131 0.250 0.125
2 Cr 0.250 0.631 0.375
3 Cr 0.250 0.869 0.875
4 Cr 0.369 0.250 0.625
5 Cr 0.631 0.750 0.625
6 Cr 0.750 0.131 0.875
7 Cr 0.750 0.369 0.375
8 Cr 0.869 0.750 0.125
9 Pt 0.000 0.000 0.500
10 Pt 0.000 0.500 0.750
11 Pt 0.500 0.000 0.250
12 Pt 0.500 0.500 0.000
13 O 0.000 0.000 0.000
14 O 0.000 0.500 0.250
15 O 0.500 0.000 0.750
16 O 0.500 0.500 0.500